(1)
The following is a DFT calculation (PBE) of an optimized crystal structure of Ca2NpP3.

Output
N(E_F) in states/eV per cell: 16.518
Symmetry: C2/m
Uncorrected energy in eV/cell: -78.31

Unit cell a=7.0478 b=7.0478 c=7.0167 alpha=99.66 beta=99.66 gamma=119.98
Fractional positions:
Np 0.0005 0.9995 0.0000
Np 0.6662 0.3338 0.0000
P 0.4089 0.0964 0.2255
P 0.6106 0.9439 0.7727
P 0.7631 0.7423 0.2255
P 0.9036 0.5911 0.7745
P 0.0561 0.3894 0.2273
P 0.2577 0.2369 0.7745
Ca 0.4952 0.5048 0.5000
Ca 0.8333 0.1667 0.5000
Ca 0.3333 0.6667 0.0000
Ca 0.1714 0.8286 0.5000

=====

(2)
The following is a DFT calculation (PBE) of an optimized crystal structure of CaNpP2.

Output
N(E_F) in states/eV per cell: 7.889
Symmetry: R-3m
Relative energy among the computed polymorphs in kJ/mol of formula units: 0

Unit cell a=4.0426 b=4.0426 c=7.0078 alpha=73.24 beta=73.24 gamma=60.00
Fractional positions:
Np 0.0000 0.0000 0.0000
P 0.2585 0.2585 0.2245
P 0.7415 0.7415 0.7755
Ca 0.5000 0.5000 0.5000

=====

(3)
The following is a DFT calculation (PBE) of an optimized crystal structure of CaNp5P6.

Output
N(E_F) in states/eV per cell: 38.346
Symmetry: C2/m
Uncorrected energy in eV/cell: -110.06

Unit cell a=6.8965 b=6.8965 c=6.9136 alpha=99.56 beta=99.56 gamma=120.00
Fractional positions:
P 0.2601 0.2601 0.7477
P 0.5703 0.9144 0.7439
P 0.9144 0.5703 0.7439
P 0.7399 0.7399 0.2523
P 0.4297 0.0856 0.2561
P 0.0856 0.4297 0.2561
Np 0.5000 0.5000 0.5000
Np 0.6677 0.3323 0.0000
Np 0.3323 0.6677 0.0000
Np 0.8375 0.1625 0.5000
Np 0.1625 0.8375 0.5000
Ca 0.0000 0.0000 0.0000

=====

(4)
The following is a DFT calculation (PBE) of an optimized crystal structure of CaNpP2.

Output
N(E_F) in states/eV per cell: 6.910
Symmetry: R3m
Relative energy among the computed polymorphs in kJ/mol of formula units: 36

Unit cell a=4.0146 b=4.0146 c=7.2100 alpha=73.83 beta=73.83 gamma=60.00
Fractional positions:
P 0.2596 0.2596 0.2213
P 0.0750 0.0750 0.7750
Np 0.6686 0.6686 0.9943
Ca 0.4969 0.4969 0.5094

=====

What did the third record say?
The following is a DFT calculation (PBE) of an optimized crystal structure of CaNp5P6.

Output
N(E_F) in states/eV per cell: 38.346
Symmetry: C2/m
Uncorrected energy in eV/cell: -110.06

Unit cell a=6.8965 b=6.8965 c=6.9136 alpha=99.56 beta=99.56 gamma=120.00
Fractional positions:
P 0.2601 0.2601 0.7477
P 0.5703 0.9144 0.7439
P 0.9144 0.5703 0.7439
P 0.7399 0.7399 0.2523
P 0.4297 0.0856 0.2561
P 0.0856 0.4297 0.2561
Np 0.5000 0.5000 0.5000
Np 0.6677 0.3323 0.0000
Np 0.3323 0.6677 0.0000
Np 0.8375 0.1625 0.5000
Np 0.1625 0.8375 0.5000
Ca 0.0000 0.0000 0.0000